Material: KRbWBr6
Method: DFT, GGA-PBE
State: relaxed

```
KRbWBr6
1.0
8.1266 0.0000 0.0000
-4.0633 7.0379 0.0000
0.0000 0.0000 12.2241
Br K Rb W
12 2 2 2
Direct
0.6729 0.0806 0.3723
0.5924 0.9194 0.8723
0.3271 0.9194 0.6277
0.0806 0.6729 0.8723
0.4076 0.3271 0.3723
0.9194 0.3271 0.1277
0.6729 0.5924 0.1277
0.5924 0.6729 0.6277
0.3271 0.4076 0.8723
0.9194 0.5924 0.3723
0.4076 0.0806 0.1277
0.0806 0.4076 0.6277
0.0000 0.0000 0.5000
0.0000 0.0000 0.0000
0.3333 0.6667 0.2500
0.6667 0.3333 0.7500
0.6667 0.3333 0.2500
0.3333 0.6667 0.7500
```

Values from the calculation:
The calculation puts the calculated volume at 38.8 A^3/atom. The formation energy (no corrections) is -0.99 eV/atom. The total magnetization is 2.00 μB/f.u. For the uncorrected energy, the calculation gives -3.7734 eV/atom.

=====

Material: KRb2YBr6
Method: DFT, GGA-PBE
State: relaxed

```
KRb2YBr6
1.0
-4.0544 6.8060 -2.7518
-6.7410 -4.6964 -1.6838
-7.4535 2.0432 3.2558
Br Y Rb K
6 1 2 1
Direct
0.2355 0.7645 0.0000
0.2355 0.2355 0.0000
0.7645 0.2355 0.0000
0.2355 0.2355 0.5290
0.7645 0.7645 0.4710
0.7645 0.7645 0.0000
0.0000 0.0000 0.0000
0.7500 0.2500 0.5000
0.2500 0.7500 0.5000
0.5000 0.5000 0.0000
```

Values from the calculation:
The calculation puts the calculated volume at 41.7 A^3/atom. For the energy above the most stable polymorph in this dataset, the calculation gives 45 meV/atom. The formation energy (no corrections) is -1.80 eV/atom. The total magnetization is 0.00 μB/f.u. For the uncorrected energy, the calculation gives -3.7506 eV/atom.

=====

Material: KRb2YBr6
Method: DFT, GGA-PBE
State: relaxed

```
KRb2YBr6
1.0
8.0764 0.0000 0.0338
0.0000 8.5222 0.0000
0.1191 0.0000 11.5485
Rb Br Y K
4 12 2 2
Direct
0.9735 0.0724 0.7459
0.5265 0.5724 0.7541
0.4735 0.4276 0.2459
0.0265 0.9276 0.2541
0.6734 0.2752 0.5622
0.8266 0.7752 0.9378
0.2186 0.1817 0.4496
0.6115 0.0386 0.2698
0.7186 0.3183 0.9496
0.1115 0.4614 0.7698
0.3266 0.7248 0.4378
0.8885 0.5386 0.2302
0.3885 0.9614 0.7302
0.1734 0.2248 0.0622
0.2814 0.6817 0.0504
0.7814 0.8183 0.5504
0.5000 0.0000 0.5000
0.0000 0.5000 0.0000
0.5000 0.0000 0.0000
0.0000 0.5000 0.5000
```

Values from the calculation:
The calculation puts the calculated volume at 39.7 A^3/atom. For the energy above the most stable polymorph in this dataset, the calculation gives 0 meV/atom. The formation energy (no corrections) is -1.84 eV/atom. The total magnetization is 0.00 μB/f.u. For the uncorrected energy, the calculation gives -3.7954 eV/atom.

=====

Material: KRbZn2Br6
Method: DFT, GGA-PBE
State: relaxed

```
KRbZn2Br6
1.0
9.2731 -1.0812 0.1380
-2.2084 9.0710 0.1380
-1.9543 -2.2102 10.2061
K Br Rb Zn
2 12 2 4
Direct
0.4079 0.5921 0.7500
0.5921 0.4079 0.2500
0.5839 0.3404 0.9067
0.7753 0.8118 0.4117
0.4161 0.6596 0.0933
0.6596 0.4161 0.5933
0.1882 0.2247 0.0883
0.9580 0.5260 0.1764
0.2247 0.1882 0.5883
0.4740 0.0420 0.3236
0.8118 0.7753 0.9117
0.3404 0.5839 0.4067
0.5260 0.9580 0.6764
0.0420 0.4740 0.8236
0.9275 0.0725 0.7500
0.0725 0.9275 0.2500
0.8080 0.5208 0.8298
0.4792 0.1920 0.6702
0.1920 0.4792 0.1702
0.5208 0.8080 0.3298
```

Values from the calculation:
The calculation puts the calculated volume at 42.0 A^3/atom. The formation energy (no corrections) is -1.23 eV/atom. The total magnetization is 0.00 μB/f.u. For the uncorrected energy, the calculation gives -2.6916 eV/atom.

=====

Material: K3RbZn4Br12
Method: DFT, GGA-PBE
State: relaxed

```
K3RbZn4Br12
1.0
-9.3268 3.2553 -1.0058
-0.4716 -9.1208 -3.8972
0.5963 -1.8483 9.7379
Br K Zn Rb
12 3 4 1
Direct
0.9560 0.1872 0.3397
0.6603 0.8128 0.0440
0.0440 0.6603 0.8128
0.6510 0.5000 0.3490
0.3490 0.6510 0.5000
0.1872 0.3397 0.9560
0.5000 0.3490 0.6510
0.1068 0.8932 0.5000
0.5000 0.1068 0.8932
0.8128 0.0440 0.6603
0.3397 0.9560 0.1872
0.8932 0.5000 0.1068
0.4640 0.0000 0.5360
0.0000 0.5360 0.4640
0.5360 0.4640 0.0000
0.0451 0.5000 0.9549
0.9549 0.0451 0.5000
0.5000 0.9549 0.0451
0.5000 0.5000 0.5000
0.0000 0.0000 0.0000
```

Values from the calculation:
The calculation puts the calculated volume at 44.8 A^3/atom. The formation energy (no corrections) is -1.20 eV/atom. The total magnetization is 0.00 μB/f.u. For the uncorrected energy, the calculation gives -2.6682 eV/atom.

=====

Material: KRb2ZnBr6
Method: DFT, GGA-PBE
State: relaxed

```
KRb2ZnBr6
1.0
8.1008 0.0000 0.0000
0.0000 8.1008 0.0000
4.0504 4.0504 5.7296
Br Zn Rb K
6 1 2 1
Direct
0.7724 0.7724 0.4553
0.2276 0.7724 0.0000
0.2276 0.2276 0.0000
0.7724 0.2276 0.0000
0.7724 0.7724 0.0000
0.2276 0.2276 0.5447
0.0000 0.0000 0.0000
0.2500 0.7500 0.5000
0.7500 0.2500 0.5000
0.5000 0.5000 0.0000
```

Values from the calculation:
The calculation puts the calculated volume at 37.6 A^3/atom. The formation energy (no corrections) is -1.18 eV/atom. The total magnetization is 0.00 μB/f.u. For the uncorrected energy, the calculation gives -2.6123 eV/atom.